No. 1
# AcMg2Zn

A relaxed AcMg2Zn crystal (PBE, Alexandria via LeMat-Bulk). Values from VASP.

Output
mass density	5.453	g/cm3
total magnetization	0.000	μB/cell
raw total energy	-0.0780	Ha/atom
E_form	0.08	eV/f.u.
polymorph energy (0 for the lowest one)	191	meV/atom

Structure (Quantum ESPRESSO input):
```
&SYSTEM
  ibrav = 0, nat = 4, ntyp = 3
/
ATOMIC_SPECIES
Mg 24.30 Mg.upf
Zn 65.41 Zn.upf
Ac 227.00 Ac.upf
CELL_PARAMETERS angstrom
5.276 0.000 0.000
2.638 4.569 0.000
2.638 1.523 4.308
ATOMIC_POSITIONS angstrom
Mg 2.638 1.523 1.077
Zn 0.000 0.000 0.000
Ac 5.276 3.046 2.154
Mg 7.914 4.569 3.231
```

***

No. 2
# YRuS2N

A relaxed YRuS2N crystal (PBE, Alexandria via LeMat-Bulk). Values from VASP.

Output
mass density	3.854	g/cm3
total magnetization	3.646	μB/cell
raw total energy	-0.2042	Ha/atom
polymorph energy (0 for the lowest one)	1482	meV/atom
raw formation energy	907	meV per atom

Structure (Quantum ESPRESSO input):
```
&SYSTEM
  ibrav = 0, nat = 5, ntyp = 4
/
ATOMIC_SPECIES
Ru 101.07 Ru.upf
Y 88.91 Y.upf
S 32.06 S.upf
N 14.01 N.upf
CELL_PARAMETERS angstrom
-3.155 -3.614 -2.049
-1.622 -1.297 4.785
-3.112 2.874 -0.276
ATOMIC_POSITIONS angstrom
Ru -3.945 -1.019 1.230
Y 0.000 0.000 0.000
S -1.577 -1.807 -1.024
N -1.556 1.437 -0.138
S -0.811 -0.648 2.393
```

***

No. 3
# LiPr2ErS4

A relaxed LiPr2ErS4 crystal (PBE, Alexandria via LeMat-Bulk). Values from VASP.

Output
mass density	5.453	g/cm3
total magnetization	0.000	μB/cell
raw total energy	-0.2196	Ha/atom
raw formation energy	-1906	meV per atom

Structure (Quantum ESPRESSO input):
```
&SYSTEM
  ibrav = 0, nat = 8, ntyp = 4
/
ATOMIC_SPECIES
Pr 140.91 Pr.upf
Li 6.94 Li.upf
Er 167.26 Er.upf
S 32.06 S.upf
CELL_PARAMETERS angstrom
3.980 0.000 0.000
0.000 6.852 0.113
0.000 -2.400 6.485
ATOMIC_POSITIONS angstrom
Pr 0.000 2.226 3.299
Li 1.990 3.426 0.057
Er 0.000 0.000 0.000
Pr 1.990 -1.200 3.243
S 1.990 3.320 5.092
S 0.000 -0.093 5.022
S 1.990 1.132 1.507
S 0.000 4.544 1.577
```

***

No. 4
# Pa2Ga2Si4Tc

A relaxed Pa2Ga2Si4Tc crystal (PBE, Alexandria via LeMat-Bulk). Values from VASP.

Output
mass density	8.601	g/cm3
total magnetization	0.000	μB/cell
raw total energy	-0.2497	Ha/atom
raw formation energy	-449	meV per atom

Structure (Quantum ESPRESSO input):
```
&SYSTEM
  ibrav = 0, nat = 9, ntyp = 4
/
ATOMIC_SPECIES
Tc 98.00 Tc.upf
Pa 231.04 Pa.upf
Si 28.09 Si.upf
Ga 69.72 Ga.upf
CELL_PARAMETERS angstrom
-4.536 -3.942 -0.682
5.130 -0.745 -3.114
3.128 0.124 5.174
ATOMIC_POSITIONS angstrom
Tc 0.000 0.000 0.000
Pa 2.362 -2.499 -1.383
Si 3.691 -0.120 2.843
Ga 5.862 -0.441 1.462
Si 3.951 -2.170 1.182
Si -0.229 -2.393 0.196
Ga 2.396 -0.180 0.598
Si 4.567 -0.500 -0.782
Pa 1.361 -2.064 2.761
```

***

No. 5
# EuTh2C

A relaxed EuTh2C crystal (PBE, Alexandria via LeMat-Bulk). Values from VASP.

Output
mass density	9.054	g/cm3
total magnetization	7.378	μB/cell
raw total energy	-0.3170	Ha/atom
E_form	-0.17	eV/f.u.

Structure (Quantum ESPRESSO input):
```
&SYSTEM
  ibrav = 0, nat = 4, ntyp = 3
/
ATOMIC_SPECIES
Th 232.04 Th.upf
Eu 151.96 Eu.upf
C 12.01 C.upf
CELL_PARAMETERS angstrom
-0.527 -3.235 1.592
1.671 -0.777 3.143
-7.402 2.423 6.645
ATOMIC_POSITIONS angstrom
Th -1.615 -2.678 6.531
Eu 0.000 0.000 0.000
Th -4.643 1.090 4.849
C -3.129 -0.794 5.690
```

***

No. 6
# TiReOs3

A relaxed TiReOs3 crystal (PBE, Alexandria via LeMat-Bulk). Values from VASP.

Output
mass density	13.084	g/cm3
total magnetization	0.001	μB/cell
raw total energy	-0.3271	Ha/atom
E_form	9.52	eV/f.u.
polymorph energy (0 for the lowest one)	0	meV/atom

Structure (Quantum ESPRESSO input):
```
&SYSTEM
  ibrav = 0, nat = 5, ntyp = 3
/
ATOMIC_SPECIES
Os 190.23 Os.upf
Ti 47.87 Ti.upf
Re 186.21 Re.upf
CELL_PARAMETERS angstrom
-3.796 -0.161 -2.723
-2.530 -1.539 3.617
-1.021 4.411 1.163
ATOMIC_POSITIONS angstrom
Os -1.898 -0.081 -1.362
Os -1.265 -0.770 1.808
Ti -3.673 1.355 1.028
Re 0.000 0.000 0.000
Os -0.511 2.205 0.581
```

***

No. 7
# CeGePt4

A relaxed CeGePt4 crystal (PBE, Alexandria via LeMat-Bulk). Values from VASP.

Output
mass density	14.942	g/cm3
total magnetization	0.434	μB/cell
raw total energy	-0.2401	Ha/atom
E_form	-4.48	eV/f.u.
polymorph energy (0 for the lowest one)	0	meV/atom

Structure (Quantum ESPRESSO input):
```
&SYSTEM
  ibrav = 0, nat = 12, ntyp = 3
/
ATOMIC_SPECIES
Pt 195.08 Pt.upf
Ge 72.64 Ge.upf
Ce 140.12 Ce.upf
CELL_PARAMETERS angstrom
-2.412 -3.774 4.266
4.345 -6.140 0.684
2.038 -0.451 5.823
ATOMIC_POSITIONS angstrom
Pt 3.371 -5.197 6.959
Ge 3.218 -6.657 5.010
Pt 2.892 -3.458 4.616
Ce 3.204 -8.321 8.602
Ce 0.767 -2.044 2.171
Pt 0.712 -4.672 7.938
Pt 0.601 -5.168 3.814
Ge 0.753 -3.708 5.763
Pt 0.982 -1.239 5.454
Pt -1.357 -2.986 4.635
Pt 1.080 -6.907 6.157
Pt 3.259 -5.693 2.835
```

***

No. 8
# CsRhAuSe2

A relaxed CsRhAuSe2 crystal (PBE, Alexandria via LeMat-Bulk). Values from VASP.

Output
mass density	6.577	g/cm3
total magnetization	0.009	μB/cell
raw total energy	-0.1541	Ha/atom
raw formation energy	-503	meV per atom

Structure (Quantum ESPRESSO input):
```
&SYSTEM
  ibrav = 0, nat = 10, ntyp = 4
/
ATOMIC_SPECIES
Rh 102.91 Rh.upf
Cs 132.91 Cs.upf
Se 78.96 Se.upf
Au 196.97 Au.upf
CELL_PARAMETERS angstrom
-2.139 -0.353 -7.427
5.605 -0.248 -1.602
-2.989 -6.470 1.168
ATOMIC_POSITIONS angstrom
Rh 3.134 -0.362 -4.915
Cs -1.682 -3.560 -5.334
Se 1.255 -1.493 -6.001
Se -0.778 -5.579 -1.860
Cs 2.159 -3.512 -2.527
Au 0.000 0.000 0.000
Se 1.132 -5.850 -5.759
Rh 0.332 -0.239 -4.114
Au 2.802 -0.124 -0.801
Se -0.655 -1.221 -2.102
```